ReMoRh2 (SCAN, single point on PBEsol structure); SG = I4/mmm (139); formation enthalpy at 0 K = -0.6 eV per formula unit; total DFT energy (no corrections) = -174.14 eV for the cell shown; N(E_F) = 2.67 states/eV/f.u.; energy relative to the lowest polymorph listed for this composition = 81.5 meV/atom; density = 14.40 g/cm³
1.0
3.801 0.000 0.000
0.000 3.801 0.000
-1.900 -1.900 3.895
Re Mo Rh
1 1 2
direct
0.000 0.000 0.000
0.500 0.500 0.000
0.750 0.250 0.500
0.250 0.750 0.500